Y2BeRu2 PBE relaxed; energy of formation from the pure elements = -8.1 kcal/mol of atoms; M_tot = 0.00 μB/f.u.
1.0
3.432 0.000 0.000
0.000 6.286 0.000
0.000 0.000 8.550
Y Be Ru
4 2 4
Direct
0.000 0.000 0.204
0.000 0.000 0.796
0.500 0.500 0.296
0.500 0.500 0.704
0.000 0.500 0.000
0.500 0.000 0.500
0.000 0.244 0.500
0.000 0.756 0.500
0.500 0.256 0.000
0.500 0.744 0.000